Computed, not measured: a geometry-optimized Y2MnMo structure at the PBE level of DFT.

Properties
energy of formation from the pure elements = 0.61 eV per atom

Cell: 9.696 9.696 9.696 Å, 19.68 19.68 19.68°
Last column: magnetic moment on the atom in μB.
Sites, in units of the cell vectors:
Mn 0.250 0.250 0.250  3.59
Mo 0.750 0.750 0.750  0.81
Y 0.002 0.002 0.002  -0.05
Y 0.498 0.498 0.498  -0.05